No. 1
## Cd2NiCl (GGA-PBE)

Data for an optimized crystal structure of Cd2NiCl.

Output
Formation energy (no corrections) = 0.06 eV/atom
Calculated volume = 77.3 Å³ per cell
E = -2.307 eV per atom
Mass density = 6849 kg/m³

Cell lengths 3.114, 3.114, 7.976 Å; angles 90.00, 90.00, 90.00 degrees
Fractional coordinates of all 4 atoms:
Cd (0.000, 0.000, 0.000)
Cd (0.500, 0.500, 0.296)
Ni (0.500, 0.500, 0.794)
Cl (0.000, 0.000, 0.613)

---

No. 2
## TlCuGeS2 (GGA-PBE)

Data for an optimized crystal structure of TlCuGeS2.

Output
Formation energy (no corrections) = -0.05 eV/atom
Calculated volume = 224.5 Å³ per cell
E = -3.920 eV per atom
Mass density = 5988 kg/m³

Cell lengths 7.328, 6.085, 5.320 Å; angles 90.00, 108.88, 90.00 degrees
Fractional coordinates of all 10 atoms:
Tl (0.000, 0.241, 0.250)
Tl (0.000, 0.759, 0.750)
Cu (0.500, 0.037, 0.250)
Cu (0.500, 0.963, 0.750)
Ge (0.500, 0.500, 0.000)
Ge (0.500, 0.500, 0.500)
S (0.272, 0.187, 0.884)
S (0.272, 0.813, 0.384)
S (0.728, 0.187, 0.616)
S (0.728, 0.813, 0.116)

---

No. 3
## ErHfGe2 (GGA-PBE)

Data for an optimized crystal structure of ErHfGe2.

Output
Calculated volume = 161.2 Å³ per cell
ΔH_f (0 K) = -2.8 eV/f.u.
E = -6.641 eV per atom
Mass density = 10113 kg/m³

Cell lengths 3.932, 5.542, 7.399 Å; angles 90.00, 90.00, 90.00 degrees
Fractional coordinates of all 8 atoms:
Er (0.000, 0.121, 0.000)
Er (0.000, 0.879, 0.500)
Hf (0.500, 0.379, 0.639)
Hf (0.500, 0.621, 0.139)
Ge (0.000, 0.408, 0.366)
Ge (0.000, 0.592, 0.866)
Ge (0.500, 0.102, 0.276)
Ge (0.500, 0.898, 0.776)

---

No. 4
## Pm3Pr6Dy2Ho (GGA-PBE)

Data for an optimized crystal structure of Pm3Pr6Dy2Ho.

Output
Calculated volume = 413.1 Å³ per cell
ΔH_f (0 K) = 0.2 eV/f.u.
E = -4.713 eV per atom
Mass density = 7116 kg/m³

Cell lengths 6.349, 6.349, 12.024 Å; angles 95.04, 95.04, 120.02 degrees
Fractional coordinates of all 12 atoms:
Pm (0.000, 0.000, 0.000)
Pm (0.333, 0.667, 0.000)
Pm (0.667, 0.333, 0.000)
Pr (0.084, 0.417, 0.253)
Pr (0.250, 0.250, 0.747)
Pr (0.417, 0.084, 0.253)
Pr (0.583, 0.916, 0.747)
Pr (0.750, 0.750, 0.253)
Pr (0.916, 0.583, 0.747)
Dy (0.167, 0.833, 0.500)
Dy (0.833, 0.167, 0.500)
Ho (0.500, 0.500, 0.500)

---

No. 5
## SrHgSb2 (GGA-PBE)

Data for an optimized crystal structure of SrHgSb2.

Output
Formation energy (no corrections) = -0.36 eV/atom
Calculated volume = 127.2 Å³ per cell
E = -2.915 eV per atom
Mass density = 6942 kg/m³

Cell lengths 3.572, 5.189, 6.864 Å; angles 90.00, 90.40, 90.00 degrees
Fractional coordinates of all 4 atoms:
Sr (0.000, 0.000, 0.000)
Hg (0.000, 0.000, 0.500)
Sb (0.497, 0.500, 0.786)
Sb (0.503, 0.500, 0.214)

---

No. 6
## Sc2SiBr (GGA-PBE)

Data for an optimized crystal structure of Sc2SiBr.

Output
Formation energy (no corrections) = 0.16 eV/atom
Calculated volume = 81.9 Å³ per cell
E = -4.783 eV per atom
Mass density = 4010 kg/m³

Cell lengths 4.875, 4.875, 4.875 Å; angles 60.00, 60.00, 60.00 degrees
Fractional coordinates of all 4 atoms:
Sc (0.000, 0.000, 0.000)
Sc (0.250, 0.250, 0.250)
Si (0.500, 0.500, 0.500)
Br (0.750, 0.750, 0.750)

---

No. 7
## Pa2AlZn (GGA-PBE)

Data for an optimized crystal structure of Pa2AlZn.

Output
Calculated volume = 169.4 Å³ per cell
ΔH_f (0 K) = -0.3 eV/f.u.
E = -6.069 eV per atom
Mass density = 10868 kg/m³

Cell lengths 6.239, 6.239, 6.239 Å; angles 121.22, 88.52, 120.50 degrees
Fractional coordinates of all 8 atoms:
Pa (0.260, 0.000, 0.760)
Pa (0.260, 0.500, 0.260)
Pa (0.740, 0.000, 0.240)
Pa (0.740, 0.500, 0.740)
Al (0.231, 0.481, 0.750)
Al (0.769, 0.519, 0.250)
Zn (0.230, 0.980, 0.250)
Zn (0.770, 0.020, 0.750)

---

No. 8
## PaAlO6 (GGA-PBE)

Data for an optimized crystal structure of PaAlO6.

Output
Formation energy (no corrections) = -1.91 eV/atom
Calculated volume = 128.9 Å³ per cell
E = -7.280 eV per atom
Mass density = 4562 kg/m³

Cell lengths 5.670, 5.670, 5.670 Å; angles 60.00, 60.00, 60.00 degrees
Fractional coordinates of all 8 atoms:
Pa (0.000, 0.000, 0.000)
Al (0.500, 0.500, 0.500)
O (0.266, 0.266, 0.734)
O (0.266, 0.734, 0.266)
O (0.266, 0.734, 0.734)
O (0.734, 0.266, 0.266)
O (0.734, 0.266, 0.734)
O (0.734, 0.734, 0.266)

---

No. 9
## Na2MgZrP (GGA-PBE)

Data for an optimized crystal structure of Na2MgZrP.

Output
Calculated volume = 133.2 Å³ per cell
ΔH_f (0 K) = 4.9 eV/f.u.
E = -2.663 eV per atom
Mass density = 2400 kg/m³

Cell lengths 4.879, 4.879, 5.595 Å; angles 90.00, 90.00, 90.00 degrees
Fractional coordinates of all 5 atoms:
Na (0.000, 0.500, 0.000)
Na (0.500, 0.000, 0.000)
Mg (0.000, 0.000, 0.000)
Zr (0.000, 0.000, 0.500)
P (0.500, 0.500, 0.500)

---

No. 10
## InCu2Tc (GGA-PBE)

Data for an optimized crystal structure of InCu2Tc.

Output
Calculated volume = 61.3 Å³ per cell
ΔH_f (0 K) = 1.4 eV/f.u.
E = -4.969 eV per atom
Mass density = 9201 kg/m³

Cell lengths 8.868, 8.868, 8.868 Å; angles 18.50, 18.50, 18.50 degrees
Fractional coordinates of all 4 atoms:
In (0.000, 0.000, 0.000)
Cu (0.245, 0.245, 0.245)
Cu (0.503, 0.503, 0.503)
Tc (0.757, 0.757, 0.757)

---

No. 11
## Na2TlO (GGA-PBE)

Data for an optimized crystal structure of Na2TlO.

Output
Formation energy (no corrections) = -0.75 eV/atom
Calculated volume = 177.1 Å³ per cell
E = -3.237 eV per atom
Mass density = 4995 kg/m³

Cell lengths 6.299, 3.613, 8.037 Å; angles 90.00, 104.48, 90.00 degrees
Fractional coordinates of all 8 atoms:
Na (0.043, 0.000, 0.377)
Na (0.456, 0.000, 0.622)
Na (0.544, 0.500, 0.378)
Na (0.957, 0.500, 0.623)
Tl (0.250, 0.998, 0.001)
Tl (0.750, 0.498, 0.999)
O (0.250, 0.500, 0.500)
O (0.750, 0.000, 0.500)